1 | Below is Li7Mn2Co3O12 after structural relaxation, with properties calculated at the PBE with a Hubbard U level.

a = 5.0218 Å, b = 5.8819 Å, c = 7.7933 Å
α = 78.47°, β = 78.22°, γ = 73.13°
Fractional coordinates of all 24 atoms:
Li: 0.0085 0.1660 0.3426
Li: 0.0071 0.8320 0.6491
Li: 0.0007 0.6642 0.3332
Li: 0.5190 0.9947 0.4957
Li: 0.0011 0.5006 0.0067
Li: 0.4924 0.3380 0.1731
Li: 0.4936 0.6654 0.8300
Co: 0.4989 0.4928 0.4933
Co: 0.9948 0.3473 0.6560
Co: 0.5005 0.1697 0.8296
O: 0.7380 0.8549 0.9323
O: 0.2630 0.3349 0.4283
O: 0.2625 0.4798 0.7514
O: 0.7555 0.1662 0.5873
O: 0.2358 0.0234 0.7705
O: 0.7514 0.6434 0.5888
O: 0.7461 0.9930 0.2277
O: 0.2801 0.8273 0.4028
O: 0.7489 0.3068 0.9120
O: 0.7263 0.5237 0.2451
O: 0.2483 0.6991 0.0809
O: 0.2378 0.1440 0.0864
Mn: 0.4955 0.8310 0.1731
Mn: 0.9941 0.0017 0.0042

Results
Its crystal system is triclinic. The size of the total moment comes out at 15.999 μB per cell.


2 | Below is Li7Mn2Co3O12 after structural relaxation, with properties calculated at the PBE with a Hubbard U level.

a = 2.9197 Å, b = 8.1984 Å, c = 9.7517 Å
α = 114.16°, β = 91.87°, γ = 89.96°
Fractional coordinates of all 24 atoms:
Mn: 0.9960 0.9956 0.0058
Mn: 0.5279 0.1653 0.8290
Li: 0.4978 0.4991 0.4935
Li: 0.4558 0.3476 0.1877
Li: 0.9847 0.1827 0.3454
Li: 0.5021 0.0004 0.4901
Li: 0.0146 0.8132 0.6597
Li: 0.5400 0.6567 0.8220
Li: 0.0326 0.5008 0.9906
O: 0.9858 0.8916 0.3162
O: 0.4901 0.7434 0.4751
O: 0.5239 0.3948 0.8281
O: 0.9741 0.4415 0.3294
O: 0.4990 0.2479 0.5062
O: 0.9553 0.7625 0.0254
O: 0.0424 0.2328 0.9792
O: 0.4753 0.6070 0.1894
O: 0.0143 0.0919 0.6856
O: 0.4523 0.0684 0.1645
O: 0.0205 0.5778 0.6727
O: 0.5418 0.9309 0.8415
Co: 0.0130 0.3510 0.6536
Co: 0.4713 0.8322 0.1731
Co: 0.9895 0.6646 0.3362

Results
Its crystal system is triclinic. The size of the total moment comes out at 10.010 μB per cell.


So which one wins? Going from most stable to least: 1, 2.